# 1
Density functional theory data (GGA-PBE) for ScPbAuSe3 after structural relaxation. Values from VASP.

The structure in Quantum ESPRESSO input format:
```
&SYSTEM
  ibrav = 0, nat = 12, ntyp = 4
/
ATOMIC_SPECIES
Sc 44.96 Sc.upf
Pb 207.20 Pb.upf
Au 196.97 Au.upf
Se 78.96 Se.upf
ATOMIC_POSITIONS crystal
Sc 0.1900 0.2500 0.1668
Sc 0.8100 0.7500 0.8332
Pb 0.2425 0.7500 0.7146
Pb 0.7575 0.2500 0.2854
Au 0.3867 0.7500 0.4033
Au 0.6133 0.2500 0.5967
Se 0.0683 0.2500 0.8750
Se 0.1880 0.2500 0.4544
Se 0.4273 0.7500 0.1523
Se 0.5727 0.2500 0.8477
Se 0.8120 0.7500 0.5456
Se 0.9317 0.7500 0.1250
CELL_PARAMETERS angstrom
7.7998 0.0000 0.0000
0.0000 3.9963 0.0000
-2.8946 0.0000 9.3690
```

Computed properties:
E_tot: -0.1765 hartree per atom
Space-group type: P2_1/m, No. 11
Polymorph energy (0 for the lowest one): 0.00 eV per formula unit

***

# 2
Density functional theory data (GGA-PBE) for ScPbAuSe3 after structural relaxation. Values from VASP.

The structure in Quantum ESPRESSO input format:
```
&SYSTEM
  ibrav = 0, nat = 24, ntyp = 4
/
ATOMIC_SPECIES
Sc 44.96 Sc.upf
Pb 207.20 Pb.upf
Au 196.97 Au.upf
Se 78.96 Se.upf
ATOMIC_POSITIONS crystal
Sc 0.0312 0.2500 0.1543
Sc 0.4688 0.7500 0.6543
Sc 0.5312 0.2500 0.3457
Sc 0.9688 0.7500 0.8457
Pb 0.1658 0.2500 0.5501
Pb 0.3342 0.7500 0.0501
Pb 0.6658 0.2500 0.9499
Pb 0.8342 0.7500 0.4499
Au 0.2183 0.7500 0.3711
Au 0.2817 0.2500 0.8711
Au 0.7183 0.7500 0.1289
Au 0.7817 0.2500 0.6289
Se 0.0264 0.7500 0.3037
Se 0.0912 0.2500 0.9399
Se 0.2462 0.2500 0.1867
Se 0.2538 0.7500 0.6867
Se 0.4088 0.7500 0.4399
Se 0.4736 0.2500 0.8037
Se 0.5264 0.7500 0.1963
Se 0.5912 0.2500 0.5601
Se 0.7462 0.2500 0.3133
Se 0.7538 0.7500 0.8133
Se 0.9088 0.7500 0.0601
Se 0.9736 0.2500 0.6963
CELL_PARAMETERS angstrom
12.2195 0.0000 0.0000
0.0000 4.0465 0.0000
0.0000 0.0000 12.6925
```

Computed properties:
E_tot: -0.1753 hartree per atom
Space-group type: Pnma, No. 62
Polymorph energy (0 for the lowest one): 0.20 eV per formula unit

***

Copy entry 2 word for word.
Density functional theory data (GGA-PBE) for ScPbAuSe3 after structural relaxation. Values from VASP.

The structure in Quantum ESPRESSO input format:
```
&SYSTEM
  ibrav = 0, nat = 24, ntyp = 4
/
ATOMIC_SPECIES
Sc 44.96 Sc.upf
Pb 207.20 Pb.upf
Au 196.97 Au.upf
Se 78.96 Se.upf
ATOMIC_POSITIONS crystal
Sc 0.0312 0.2500 0.1543
Sc 0.4688 0.7500 0.6543
Sc 0.5312 0.2500 0.3457
Sc 0.9688 0.7500 0.8457
Pb 0.1658 0.2500 0.5501
Pb 0.3342 0.7500 0.0501
Pb 0.6658 0.2500 0.9499
Pb 0.8342 0.7500 0.4499
Au 0.2183 0.7500 0.3711
Au 0.2817 0.2500 0.8711
Au 0.7183 0.7500 0.1289
Au 0.7817 0.2500 0.6289
Se 0.0264 0.7500 0.3037
Se 0.0912 0.2500 0.9399
Se 0.2462 0.2500 0.1867
Se 0.2538 0.7500 0.6867
Se 0.4088 0.7500 0.4399
Se 0.4736 0.2500 0.8037
Se 0.5264 0.7500 0.1963
Se 0.5912 0.2500 0.5601
Se 0.7462 0.2500 0.3133
Se 0.7538 0.7500 0.8133
Se 0.9088 0.7500 0.0601
Se 0.9736 0.2500 0.6963
CELL_PARAMETERS angstrom
12.2195 0.0000 0.0000
0.0000 4.0465 0.0000
0.0000 0.0000 12.6925
```

Computed properties:
E_tot: -0.1753 hartree per atom
Space-group type: Pnma, No. 62
Polymorph energy (0 for the lowest one): 0.20 eV per formula unit